# BaBe2, optimized geometry, DFT GGA-PBE
# - energy (eV/cell) = -30.24
# - D(E_F) (states/eV/atom) = 0.7033
# - size of the total moment (μB per cell) = 0.000
# - energy of formation (meV per atom) = 605
data_BaBe2
_cell_length_a 4.513
_cell_length_b 4.513
_cell_length_c 13.922
_cell_angle_alpha 90.00
_cell_angle_beta 90.00
_cell_angle_gamma 90.00
_space_group_name_H-M_alt 'I 41/a m d'
_space_group_IT_number 141
loop_
_space_group_symop_operation_xyz
'x,y,z'
'-x,-y,-z'
'-y+1/4,x+3/4,z+1/4'
'y+1/4,-x+3/4,-z+1/4'
'-x+1/2,-y,z+1/2'
'x+1/2,y,-z+1/2'
'y+1/4,-x+1/4,z+3/4'
'-y+1/4,x+1/4,-z+3/4'
'x,-y,-z'
'-x,y,z'
'-y+1/4,-x+1/4,-z+3/4'
'y+1/4,x+1/4,z+3/4'
'-x+1/2,y,-z+1/2'
'x+1/2,-y,z+1/2'
'y+1/4,x+3/4,-z+1/4'
'-y+1/4,-x+3/4,z+1/4'
'x+1/2,y+1/2,z+1/2'
'-x+1/2,-y+1/2,-z+1/2'
'-y+3/4,x+1/4,z+3/4'
'y+3/4,-x+1/4,-z+3/4'
'-x,-y+1/2,z'
'x,y+1/2,-z'
'y+3/4,-x+3/4,z+1/4'
'-y+3/4,x+3/4,-z+1/4'
'x+1/2,-y+1/2,-z+1/2'
'-x+1/2,y+1/2,z+1/2'
'-y+3/4,-x+3/4,-z+1/4'
'y+3/4,x+3/4,z+1/4'
'-x,y+1/2,-z'
'x,-y+1/2,z'
'y+3/4,x+1/4,-z+3/4'
'-y+3/4,-x+1/4,z+3/4'
loop_
_atom_site_label
_atom_site_type_symbol
_atom_site_fract_x
_atom_site_fract_y
_atom_site_fract_z
Ba1 Ba 0.000 0.250 0.375
Be1 Be 0.000 0.250 0.791